[1]
# MnRe2Mo

A relaxed MnRe2Mo crystal (PBE, Alexandria via LeMat-Bulk).

a = 4.7476 Å, b = 4.7476 Å, c = 2.7387 Å
α = 90.00°, β = 90.00°, γ = 109.64°
Fractional positions:
Mn: 0.5000 0.0000 0.5000
Mo: 0.0000 0.5000 0.5000
Re: 0.0000 0.0000 0.0000
Re: 0.5000 0.5000 0.0000

## Properties
* E: -44.17 eV/cell
* size of the total moment: 1.3 μB per formula unit
* energy relative to the lowest polymorph listed for this composition: 0.094 eV/atom


[2]
# LiAgAu4

A relaxed LiAgAu4 crystal (PBE, Alexandria via LeMat-Bulk).

a = 4.8989 Å, b = 5.6809 Å, c = 8.8309 Å
α = 73.91°, β = 90.00°, γ = 115.54°
Fractional positions:
Li: 0.2500 0.0000 0.2500
Li: 0.7500 0.0000 0.7500
Ag: 0.5000 0.5000 0.0000
Ag: 0.0000 0.5000 0.5000
Au: 0.0020 0.5038 0.1675
Au: 0.4982 0.4962 0.3325
Au: 0.9980 0.4962 0.8325
Au: 0.5018 0.5038 0.6675
Au: 0.2487 0.9974 0.5834
Au: 0.2513 0.0026 0.9166
Au: 0.7513 0.0026 0.4166
Au: 0.7487 0.9974 0.0834

## Properties
* E: -38.09 eV/cell
* size of the total moment: 0.0 μB per formula unit
* energy relative to the lowest polymorph listed for this composition: 0.033 eV/atom


[3]
# ScAg2Pd8

A relaxed ScAg2Pd8 crystal (PBE, Alexandria via LeMat-Bulk).

a = 4.3359 Å, b = 6.7159 Å, c = 6.7159 Å
α = 105.45°, β = 90.00°, γ = 90.00°
Fractional positions:
Sc: 0.5000 0.0000 0.0000
Ag: 0.0000 0.6234 0.3766
Ag: 0.0000 0.3766 0.6234
Pd: 0.0001 0.9634 0.6994
Pd: 0.0001 0.6994 0.9634
Pd: 0.5000 0.6731 0.6731
Pd: 0.5000 0.2403 0.7597
Pd: 0.5000 0.7597 0.2403
Pd: 0.5000 0.3269 0.3269
Pd: 0.9999 0.3006 0.0366
Pd: 0.9999 0.0366 0.3006

## Properties
* E: -54.92 eV/cell
* size of the total moment: 0.0 μB per formula unit
* energy relative to the lowest polymorph listed for this composition: 0.206 eV/atom